DFT (PBE) results for Tb7Nd2Dy3 after structural relaxation.

* total magnetic moment: 0.0000 μB/atom
* E_form: 74.3 meV per atom
* ΔE to the lowest computed polymorph: 0.00 eV per formula unit

```
Tb7Nd2Dy3
1.0
6.3585 0.0000 0.0000
0.0000 3.5310 0.0000
-1.8725 0.0000 17.4185
Tb Nd Dy
7 2 3
Cartesian
0.0000 0.0000 0.0000
1.1332 1.7655 2.9060
0.6971 1.7655 8.6857
0.1839 0.0000 14.5706
4.3021 0.0000 2.8479
3.7889 1.7655 8.7328
3.3528 1.7655 14.5126
-0.8823 1.7655 11.7143
5.3683 1.7655 5.7042
2.2316 0.0000 5.9524
3.1792 1.7655 0.0000
2.2544 0.0000 11.4662
```

---

DFT (PBE) results for Ta3V2Si4 after structural relaxation.

* electronic total energy: -0.320 hartree per atom
* total magnetic moment: 0.0000 μB/atom

```
Ta3V2Si4
1.0
5.7449 -1.7205 0.0000
5.7449 1.7205 0.0000
-3.9267 0.0000 6.9427
Ta V Si
3 2 4
Cartesian
0.0000 0.0000 0.0000
3.0358 0.0000 2.1212
4.5274 0.0000 4.8215
1.0287 0.0000 4.5114
6.5344 0.0000 2.4313
-0.8624 0.0000 2.7793
-0.2245 0.0000 6.5860
7.7877 0.0000 0.3567
8.4255 0.0000 4.1635
```

---

DFT (PBE) results for ZrCu2Pd8 after structural relaxation.

* total magnetic moment: 0.0000 μB/atom
* E_form: -347.0 meV per atom
* ΔE to the lowest computed polymorph: 0.00 eV per formula unit

```
ZrCu2Pd8
1.0
7.0151 -2.0099 0.0000
7.0151 2.0099 0.0000
-1.7750 0.0000 5.9850
Zr Cu Pd
1 2 8
Cartesian
0.0000 0.0000 0.0000
3.1860 0.0000 2.1636
9.0691 0.0000 3.8214
0.5473 0.0000 2.7595
0.9386 0.0000 5.4915
3.6081 0.0000 4.8152
5.8737 0.0000 1.6300
6.3814 0.0000 4.3550
8.6470 0.0000 1.1697
11.3165 0.0000 0.4935
11.7078 0.0000 3.2255
```

---

DFT (PBE) results for NdDyNiGe after structural relaxation.

* total magnetic moment: 0.0000 μB/atom
* E_form: -479.2 meV per atom

```
NdDyNiGe
1.0
0.0000 3.5492 3.5492
3.5492 0.0000 3.5492
3.5492 3.5492 0.0000
Nd Dy Ni Ge
1 1 1 1
Cartesian
0.0000 0.0000 0.0000
3.5492 3.5492 3.5492
5.3238 5.3238 5.3238
1.7746 1.7746 1.7746
```

---

DFT (PBE) results for Ca3PaIr3 after structural relaxation.

* total magnetic moment: 0.0000 μB/atom
* E_form: -436.2 meV per atom

```
Ca3PaIr3
1.0
4.1831 2.4151 5.9322
-4.1831 2.4151 5.9322
0.0000 -4.8302 5.9322
Ca Pa Ir
6 2 6
Cartesian
-0.9820 -2.8171 7.8226
-2.9307 -0.5581 9.9741
-1.9487 2.2590 7.8226
1.9487 -2.2590 9.9741
2.9307 0.5581 7.8226
0.9820 2.8171 9.9741
0.0000 0.0000 5.7157
0.0000 0.0000 12.0810
-2.7040 -0.4271 6.9317
-0.9821 -2.5553 10.8650
1.7219 -2.1282 6.9317
-1.7219 2.1282 10.8650
0.9821 2.5553 6.9317
2.7040 0.4271 10.8650
```

---

DFT (PBE) results for ScBeZn2 after structural relaxation.

* total magnetic moment: 0.0000 μB/atom
* E_form: -93.0 meV per atom

```
ScBeZn2
1.0
3.5105 -2.0069 0.0000
3.5105 2.0069 0.0000
-2.2606 0.0000 4.4790
Sc Be Zn
1 1 2
Cartesian
0.0000 0.0000 0.0000
0.0705 0.0000 2.7901
2.3996 0.0000 2.6606
4.7191 0.0000 1.6312
```

---

DFT (PBE) results for YEr2S4 after structural relaxation.

* total magnetic moment: 0.0001 μB/atom
* ΔE to the lowest computed polymorph: 0.18 eV per formula unit

```
YEr2S4
1.0
1.8937 -6.4057 0.0000
1.8937 6.4057 0.0000
0.0000 0.0000 13.0509
Y Er S
2 4 8
Cartesian
1.8937 4.7867 9.7882
1.8937 -4.7867 3.2627
1.8937 1.6620 7.4329
1.8937 1.6620 12.1435
1.8937 -1.6620 0.9074
1.8937 -1.6620 5.6180
0.0000 0.0000 0.0000
0.0000 0.0000 6.5255
1.8937 2.8799 1.5844
1.8937 2.8799 4.9411
1.8937 0.3828 9.7882
1.8937 -0.3828 3.2627
1.8937 -2.8799 8.1099
1.8937 -2.8799 11.4666
```

---

DFT (PBE) results for Li2Cu3Pd3 after structural relaxation.

* total magnetic moment: 0.0000 μB/atom
* E_form: -245.5 meV per atom

```
Li2Cu3Pd3
1.0
3.8508 0.0000 0.0000
0.0000 3.9801 0.0000
0.0000 0.0000 6.9765
Li Cu Pd
2 3 3
Cartesian
0.0000 0.0000 1.7348
0.0000 0.0000 5.2417
0.0000 1.9900 3.4882
1.9254 1.9900 1.7888
1.9254 1.9900 5.1877
0.0000 1.9900 0.0000
1.9254 0.0000 0.0000
1.9254 0.0000 3.4882
```